Arrangement P

Material: Tm2Th2Sc3
Method: DFT, PBE-GGA
State: optimized geometry

Calculated values
- DOS(E_F): 1.611 states/eV/atom

Unit cell a=4.859 b=5.908 c=9.022 alpha=57.30 beta=74.38 gamma=65.72
Element x y z (fractional)
Tm 0.927 0.434 0.713
Tm 0.073 0.566 0.287
Sc 0.500 0.000 0.000
Sc 0.645 0.136 0.573
Sc 0.355 0.864 0.427
Th 0.785 0.284 0.145
Th 0.215 0.716 0.855

---

Arrangement Q

Material: Tm2Th2Sc3
Method: DFT, PBE-GGA
State: optimized geometry

Calculated values
- DOS(E_F): 1.468 states/eV/atom

Unit cell a=3.476 b=8.255 c=7.657 alpha=111.63 beta=103.12 gamma=90.00
Element x y z (fractional)
Tm 0.424 0.277 0.847
Tm 0.576 0.723 0.153
Sc 0.000 0.000 0.000
Sc 0.712 0.145 0.424
Sc 0.288 0.855 0.576
Th 0.859 0.578 0.717
Th 0.141 0.422 0.283

---

Here is how they stack up, most stable first: arrangement P, arrangement Q.

---

Arrangement P

Material: Tm5Th2Sc5
Method: DFT, PBE-GGA
State: optimized geometry

Calculated values
- DOS(E_F): 1.927 states/eV/atom

Unit cell a=5.528 b=11.615 c=6.168 alpha=90.81 beta=63.38 gamma=76.23
Element x y z (fractional)
Sc 0.353 0.229 0.066
Sc 0.681 0.991 0.648
Sc 0.647 0.771 0.934
Sc 0.319 0.009 0.352
Sc 0.000 0.500 0.500
Tm 0.680 0.239 0.402
Tm 0.004 0.740 0.252
Tm 0.000 0.000 0.000
Tm 0.996 0.260 0.748
Tm 0.320 0.761 0.598
Th 0.653 0.511 0.184
Th 0.347 0.489 0.816

---

Arrangement Q

Material: Tm5Th2Sc5
Method: DFT, PBE-GGA
State: optimized geometry

Calculated values
- DOS(E_F): 1.748 states/eV/atom

Unit cell a=4.881 b=7.607 c=10.710 alpha=114.80 beta=90.00 gamma=108.71
Element x y z (fractional)
Tm 0.666 0.332 0.998
Tm 0.587 0.173 0.253
Tm 0.500 0.000 0.500
Tm 0.334 0.668 0.002
Tm 0.413 0.827 0.747
Sc 0.168 0.336 0.501
Sc 0.252 0.505 0.254
Sc 0.000 0.000 0.000
Sc 0.832 0.664 0.499
Sc 0.748 0.495 0.746
Th 0.918 0.835 0.254
Th 0.082 0.165 0.746

---

Here is how they stack up, most stable first: arrangement Q, arrangement P.